Below is a relaxed structure of ZrScGa2Pt4, with properties calculated at the GGA-PBE level.

It has space group P-6m2 (No. 187), with a = 4.3110 Å, b = 4.3110 Å, c = 8.7166 Å, α = 90.00°, β = 90.00° and γ = 120.00°. The asymmetric unit holds Zr at (0.0000, 0.0000, 0.0000), Sc at (0.6667, 0.3333, 0.5000), Ga at (0.3333, 0.6667, 0.2606), Pt at (0.0000, 0.0000, 0.3370) and Pt at (0.6667, 0.3333, 0.1598).

Its calculated volume is 140 Å³ per cell. The value obtained for the total DFT energy (no corrections) is -6.652 eV/atom.